A relaxed structure of LiMg14Cr. Source: Alexandria via LeMat-Bulk, functional PBE.

Cell: 6.284 6.284 10.307 Å, 90.00 90.00 119.70°
Site moments in Bohr magnetons follow the coordinates.
Fractional coordinates of all 16 atoms:
1 Li 0.833 0.167 0.500  0.00
2 Cr 0.334 0.666 0.500  3.79
3 Mg 0.834 0.166 0.000  0.00
4 Mg 0.663 0.834 0.260  0.00
5 Mg 0.834 0.667 0.000  0.00
6 Mg 0.667 0.333 0.748  0.01
7 Mg 0.336 0.165 0.500  -0.01
8 Mg 0.168 0.832 0.744  0.00
9 Mg 0.333 0.166 0.000  0.00
10 Mg 0.168 0.832 0.256  0.00
11 Mg 0.166 0.337 0.260  0.00
12 Mg 0.667 0.333 0.252  0.01
13 Mg 0.334 0.666 0.000  0.00
14 Mg 0.663 0.834 0.740  0.00
15 Mg 0.835 0.664 0.500  -0.01
16 Mg 0.166 0.337 0.740  0.00

Properties
- DOS(E_F) (states/eV/f.u.) = 4.16
- calculated formation energy (meV/atom) = 55